Below is a relaxed MgSnC2 crystal, with properties calculated at the GGA-PBE level.

a b c (Å): 4.1760 4.1760 4.1760
angles (deg): 60.00 60.00 60.00
Last column: nearest neighbours and their distance in Å.
Positions (direct):
Mg 0.0000 0.0000 0.0000  8 C 2.56
Sn 0.5000 0.5000 0.5000  8 C 2.56
C 0.2500 0.2500 0.2500  4 Sn 2.56, 4 Mg 2.56
C 0.7500 0.7500 0.7500  4 Sn 2.56, 4 Mg 2.56

Calculated values
The calculation puts the total magnetization at 0.000 μB/f.u. Its formation energy from the elements is 1.707 eV per atom. As for the density: 5.39 g/cm³.